{"formula": "Y2GaS", "functional": "PBE", "state": "optimized geometry", "total_magnetization_mub_per_cell": 0.0, "polymorph_energy_ev_per_fu": 0.23, "e_form_raw_kj_per_mol_atoms": -125, "lattice": [[3.869, 0.000, 0.000], [1.935, 3.351, 0.000], [1.935, 1.117, 7.229]], "species": ["Y", "Y", "Ga", "S"], "fractional_positions": [[0.256, 0.256, 0.232], [0.744, 0.744, 0.768], [0.500, 0.500, 0.500], [0.000, 0.000, 0.000]]}

=====

{"formula": "Y5GaS4", "functional": "PBE", "state": "optimized geometry", "total_magnetization_mub_per_cell": 0.0, "e_form_raw_kj_per_mol_atoms": -169, "lattice": [[-5.235, 1.372, -1.494], [-4.867, -2.554, 4.163], [-2.280, 5.863, 2.824]], "species": ["S", "S", "S", "S", "Ga", "Y", "Y", "Y", "Y", "Y"], "fractional_positions": [[0.199, 0.202, 0.402], [0.401, 0.402, 0.798], [0.601, 0.598, 0.202], [0.803, 0.798, 0.598], [0.001, 0.000, 0.000], [0.101, 0.599, 0.201], [0.700, 0.201, 0.401], [0.901, 0.401, 0.799], [0.302, 0.799, 0.599], [0.501, 0.000, 0.000]]}

=====

{"formula": "Y2GaS", "functional": "PBE", "state": "optimized geometry", "total_magnetization_mub_per_cell": 0.0, "polymorph_energy_ev_per_fu": 0.00, "e_form_raw_kj_per_mol_atoms": -131, "lattice": [[-3.961, -0.279, -0.028], [0.242, -3.640, 1.991], [-0.559, 7.065, 8.647]], "species": ["S", "S", "Y", "Y", "Y", "Y", "Ga", "Ga"], "fractional_positions": [[0.750, 0.808, 0.615], [0.250, 0.192, 0.385], [0.750, 0.683, 0.366], [0.750, 0.931, 0.862], [0.250, 0.317, 0.634], [0.250, 0.069, 0.138], [0.250, 0.460, 0.920], [0.750, 0.540, 0.080]]}

=====

{"formula": "YGa3S", "functional": "PBE", "state": "optimized geometry", "total_magnetization_mub_per_cell": 0.0, "polymorph_energy_ev_per_fu": 0.00, "e_form_raw_kj_per_mol_atoms": 8, "lattice": [[-3.389, -3.496, 0.376], [0.017, -0.538, -4.854], [3.516, -3.367, 0.385]], "species": ["Ga", "Ga", "Ga", "Y", "S"], "fractional_positions": [[0.500, 0.000, 0.000], [0.000, 0.000, 0.500], [0.000, 0.500, 0.000], [0.500, 0.500, 0.500], [0.000, 0.000, 0.000]]}

=====

{"formula": "Y2GaS", "functional": "PBE", "state": "optimized geometry", "total_magnetization_mub_per_cell": 0.0, "polymorph_energy_ev_per_fu": 2.25, "e_form_raw_kj_per_mol_atoms": -77, "lattice": [[-0.388, 1.121, 4.875], [1.643, 4.428, 1.695], [-3.281, 3.478, 1.521]], "species": ["Y", "Y", "S", "Ga"], "fractional_positions": [[0.750, 0.750, 0.750], [0.250, 0.250, 0.250], [0.000, 0.000, 0.000], [0.500, 0.500, 0.500]]}

=====

{"formula": "YZrGaS2", "functional": "PBE", "state": "optimized geometry", "total_magnetization_mub_per_cell": 0.3, "e_form_raw_kj_per_mol_atoms": -17, "lattice": [[-2.836, -3.519, -1.910], [-0.981, -2.227, 5.557], [-3.924, 2.906, 0.472]], "species": ["S", "S", "Zr", "Y", "Ga"], "fractional_positions": [[0.500, 0.000, 0.000], [0.000, 0.000, 0.500], [0.000, 0.000, 0.000], [0.000, 0.500, 0.000], [0.500, 0.500, 0.500]]}

=====

{"formula": "YbGa2S4", "functional": "PBE", "state": "optimized geometry", "total_magnetization_mub_per_cell": 0.5, "e_form_raw_kj_per_mol_atoms": -105, "lattice": [[-1.187, -5.640, 1.237], [5.649, 1.574, -0.599], [0.474, 2.078, 9.927]], "species": ["S", "S", "S", "S", "S", "S", "S", "S", "Yb", "Yb", "Ga", "Ga", "Ga", "Ga"], "fractional_positions": [[0.355, 0.197, 0.500], [0.500, 0.000, 0.828], [0.000, 0.500, 0.328], [0.000, 0.500, 0.672], [0.803, 0.645, 0.000], [0.500, 0.000, 0.172], [0.197, 0.355, 0.000], [0.645, 0.803, 0.500], [0.500, 0.500, 0.250], [0.500, 0.500, 0.750], [0.766, 0.230, 0.000], [0.234, 0.770, 0.000], [0.770, 0.234, 0.500], [0.230, 0.766, 0.500]]}

=====

{"formula": "ZnGa2S4", "functional": "PBE", "state": "optimized geometry", "total_magnetization_mub_per_cell": 0.0, "e_form_raw_kj_per_mol_atoms": -57, "lattice": [[-1.031, -3.556, 0.402], [2.169, -2.727, -1.314], [6.285, -2.590, 10.467]], "species": ["Ga", "Ga", "S", "S", "S", "S", "Zn"], "fractional_positions": [[0.165, 0.165, 0.505], [0.932, 0.932, 0.203], [0.044, 0.044, 0.869], [0.871, 0.871, 0.388], [0.467, 0.467, 0.600], [0.291, 0.291, 0.126], [0.395, 0.395, 0.814]]}